Record 1
This record from the Alexandria database describes CaMn2Cr at its PBEsol-relaxed geometry. The functional is meta-GGA SCAN.

Geometry as POSCAR:
```
CaMn2Cr
1.0
4.522 0.000 0.000
2.261 3.916 0.000
2.261 1.305 3.692
Cr Ca Mn
1 1 2
Direct
0.500 0.500 0.500 Cr
0.000 0.000 0.000 Ca
0.250 0.250 0.250 Mn
0.750 0.750 0.750 Mn
```

* space group: Fm-3m (225)
* ΔE to the lowest computed polymorph: 0.00 eV per formula unit
* ΔE_f: 0.177 eV per atom

---

Record 2
This record from the Alexandria database describes SrCaMnCr2 at its PBEsol-relaxed geometry. The functional is meta-GGA SCAN.

Geometry as POSCAR:
```
SrCaMnCr2
1.0
-0.106 4.495 -1.212
-4.387 0.309 1.532
1.799 1.358 4.877
Sr Ca Mn Cr
1 1 1 2
Direct
0.000 0.000 0.500 Sr
0.500 0.500 0.500 Ca
0.000 0.000 0.000 Mn
0.000 0.500 0.000 Cr
0.500 0.000 0.000 Cr
```

* space group: P4/mmm (123)
* ΔE_f: 0.629 eV per atom